(1)
LaCoOs2 (GGA-PBE, optimized geometry); energy of formation from the pure elements = 0.680 eV/atom; excess energy over the best structure of this formula in the dataset = 651 meV/atom
1.0
9.710 -0.006 -0.003
9.294 2.811 -0.003
9.294 1.372 2.453
Co La Os
1 1 2
Cartesian
14.485 2.138 1.252
21.302 3.144 1.842
27.936 4.123 2.415
7.025 1.037 0.607

(2)
LaCoOs2 (GGA-PBE, optimized geometry); energy of formation from the pure elements = 0.688 eV/atom; excess energy over the best structure of this formula in the dataset = 659 meV/atom
1.0
-1.177 8.701 -4.311
-3.760 8.434 -3.228
-1.678 9.493 -1.658
Co La Os
1 1 2
Cartesian
-1.654 6.657 -2.299
-4.961 19.972 -6.898
-6.519 26.245 -9.064
-3.403 13.699 -4.731

(3)
LaCoOs2 (GGA-PBE, optimized geometry); energy of formation from the pure elements = 0.754 eV/atom; excess energy over the best structure of this formula in the dataset = 725 meV/atom
1.0
-3.112 3.938 -0.897
-0.563 -3.897 -3.240
-1.963 -1.157 1.732
Co La Os
1 1 2
Cartesian
-2.538 1.391 0.418
-1.263 -2.527 -0.754
0.000 0.000 0.000
-1.837 0.021 -2.068

(4)
LaCoOs2 (GGA-PBE, optimized geometry); energy of formation from the pure elements = 0.436 eV/atom; excess energy over the best structure of this formula in the dataset = 407 meV/atom
1.0
2.923 0.005 0.000
-0.005 2.923 0.000
0.000 0.000 7.812
Co La Os
1 1 2
Cartesian
1.459 1.464 1.953
1.459 1.464 5.859
0.000 0.000 0.506
0.000 0.000 3.399

(5)
LaCoOs2 (GGA-PBE, optimized geometry); energy of formation from the pure elements = 0.647 eV/atom; excess energy over the best structure of this formula in the dataset = 618 meV/atom
1.0
-2.920 -1.380 -3.528
-3.687 -1.814 2.449
1.985 4.315 0.568
Co La Os
1 1 2
Cartesian
-3.304 -1.597 -0.540
-2.120 0.669 -1.750
0.000 0.000 0.000
-2.503 0.452 1.238

(6)
LaCoOs2 (GGA-PBE, optimized geometry); energy of formation from the pure elements = 0.734 eV/atom; excess energy over the best structure of this formula in the dataset = 705 meV/atom
1.0
-1.468 2.125 4.450
0.018 -3.291 3.956
3.403 1.266 -3.646
Co La Os
1 1 2
Cartesian
1.348 -1.303 2.256
0.605 1.405 2.504
0.000 0.000 0.000
-0.725 -0.583 4.203

(7)
LaCoOs2 (GGA-PBE, optimized geometry); energy of formation from the pure elements = 0.318 eV/atom; excess energy over the best structure of this formula in the dataset = 289 meV/atom
1.0
-1.051 2.688 0.670
-2.667 -0.790 -1.019
-1.950 -2.522 7.061
Co La Os
1 1 2
Cartesian
-0.877 -1.134 3.175
-3.298 -0.912 5.034
-0.104 -0.134 0.376
-2.365 0.295 1.657

(8)
La5CoOs (GGA-PBE, optimized geometry); energy of formation from the pure elements = -0.036 eV/atom
1.0
-2.773 -5.068 4.962
6.216 -3.047 -3.174
4.534 3.154 5.793
La Co Os
10 2 2
Cartesian
2.507 -0.649 0.290
3.139 -3.871 4.496
2.529 0.423 5.219
5.938 -2.576 -0.449
0.645 -3.101 1.932
7.332 -1.861 5.649
2.039 -2.386 8.030
5.448 -5.385 2.362
4.839 -1.091 3.085
5.470 -4.313 7.291
0.000 0.000 0.000
2.267 1.577 2.897
3.670 -3.086 1.605
4.307 -1.876 5.976

(9)
LaCoOs2 (GGA-PBE, optimized geometry); energy of formation from the pure elements = 0.338 eV/atom; excess energy over the best structure of this formula in the dataset = 309 meV/atom
1.0
-0.584 0.511 -4.241
0.439 -2.827 -0.401
-5.338 -2.084 0.484
Co La Os
1 1 2
Cartesian
-2.335 -1.936 0.088
-3.767 -3.406 -2.083
-0.099 -3.033 -0.352
-1.293 -1.308 -2.171

(10)
LaCoP2Os (GGA-PBE, optimized geometry); energy of formation from the pure elements = -0.902 eV/atom
1.0
-3.287 1.556 1.327
-1.824 -1.097 -3.233
1.189 -5.218 3.417
La Co P Os
1 1 2 1
Cartesian
0.000 0.000 0.000
-2.326 -1.717 1.896
-2.946 -1.195 -0.249
-0.976 -3.565 1.761
-1.595 -3.043 -0.384

(11)
La6CoOsPb2 (GGA-PBE, optimized geometry); energy of formation from the pure elements = -0.350 eV/atom
1.0
7.718 0.018 0.003
0.018 7.718 0.003
-3.866 -3.865 5.402
La Co Os Pb
6 1 1 2
Cartesian
5.819 5.824 0.007
3.867 3.870 2.770
-1.949 -1.946 5.400
1.956 -1.946 5.404
0.003 0.008 2.637
-1.951 1.958 5.405
3.853 -3.844 5.405
0.003 0.007 5.404
3.861 0.013 2.703
0.009 3.865 2.703

(12)
LaPmCoOs (GGA-PBE, optimized geometry); energy of formation from the pure elements = 0.092 eV/atom; excess energy over the best structure of this formula in the dataset = 181 meV/atom
1.0
4.977 0.000 0.000
2.488 4.310 0.000
2.488 1.437 4.063
Co La Os Pm
1 1 1 1
Cartesian
0.000 0.000 0.000
2.488 1.437 1.016
4.977 2.873 2.032
7.465 4.310 3.048

(13)
LaPmCoOs (GGA-PBE, optimized geometry); energy of formation from the pure elements = -0.089 eV/atom; excess energy over the best structure of this formula in the dataset = 0 meV/atom
1.0
4.151 -0.015 -0.004
-2.064 3.602 0.004
-2.066 -1.199 7.199
La Pm Co Os
1 1 1 1
Cartesian
0.565 -0.329 2.792
-3.570 2.077 6.239
0.570 2.069 0.879
2.642 0.863 0.864

(14)
LaPrCoOs (GGA-PBE, optimized geometry); energy of formation from the pure elements = -0.073 eV/atom
1.0
-0.887 -3.733 1.618
2.884 2.413 1.789
-5.476 4.694 2.483
La Pr Co Os
1 1 1 1
Cartesian
-2.313 0.610 1.592
-3.122 2.406 5.305
0.646 0.187 2.238
-0.592 -1.872 2.166

(15)
LaCoOs2Pt (GGA-PBE, optimized geometry); energy of formation from the pure elements = 0.959 eV/atom
1.0
4.445 0.000 0.000
0.000 5.052 0.000
0.000 0.000 4.445
Co Os Pt La
1 2 1 1
Cartesian
0.000 0.000 0.000
0.000 0.000 2.222
2.222 0.000 0.000
2.222 2.526 2.222
0.000 2.526 0.000

(16)
LaCoOsPt2 (GGA-PBE, optimized geometry); energy of formation from the pure elements = 2.021 eV/atom
1.0
5.051 0.000 0.000
0.000 4.434 0.000
0.000 0.000 5.051
Co Os Pt La
1 1 2 1
Cartesian
0.000 2.217 0.000
2.526 2.217 2.526
0.000 0.000 2.526
2.526 0.000 0.000
0.000 0.000 0.000

(17)
LaPuCoOs (GGA-PBE, optimized geometry); energy of formation from the pure elements = 0.108 eV/atom
1.0
4.891 0.000 0.000
2.445 4.236 0.000
2.445 1.412 3.993
Co La Os Pu
1 1 1 1
Cartesian
4.891 2.824 1.997
7.336 4.236 2.995
0.000 0.000 0.000
2.445 1.412 0.998

(18)
LaCoRe2Os (GGA-PBE, optimized geometry); energy of formation from the pure elements = 2.963 eV/atom
1.0
-3.815 -2.723 0.676
2.466 -2.972 1.946
-0.761 2.102 4.175
Re Co Os La
2 1 1 1
Cartesian
-0.381 1.051 2.088
-1.908 -1.362 0.338
1.233 -1.486 0.973
-1.055 -1.797 3.398
0.000 0.000 0.000

(19)
LaCoSb2Os (GGA-PBE, optimized geometry); E_form (uncorrected) = 0.265 eV per atom
1.0
-0.199 4.498 -2.083
-4.598 -0.385 -0.392
-0.554 2.051 4.483
Sb Co Os La
2 1 1 1
Cartesian
-0.277 1.026 2.241
-0.099 2.249 -1.041
0.000 0.000 0.000
-2.299 -0.193 -0.196
-2.676 3.082 1.004

(20)
LaScCoOs2 (GGA-PBE, optimized geometry); energy of formation from the pure elements = 1.696 eV/atom
1.0
4.883 0.000 0.000
0.000 4.477 0.000
0.000 0.000 4.883
Sc Co Os La
1 1 2 1
Cartesian
2.441 2.239 2.441
0.000 2.239 0.000
0.000 0.000 2.441
2.441 0.000 0.000
0.000 0.000 0.000

(21)
LaCoSi2Os (GGA-PBE, optimized geometry); E_form (uncorrected) = -0.722 eV per atom
1.0
4.106 0.000 0.000
0.000 4.106 0.000
-2.053 -2.053 5.085
La Co Si Os
1 1 2 1
Cartesian
0.000 0.000 0.000
2.053 0.000 2.543
2.053 2.053 1.371
0.000 0.000 3.714
0.000 2.053 2.543

(22)
La6CoSn2Os (GGA-PBE, optimized geometry); energy of formation from the pure elements = -0.392 eV/atom
1.0
-5.240 5.202 2.097
-2.993 -0.122 -7.068
0.776 -6.494 3.963
La Co Sn Os
6 1 2 1
Cartesian
-6.200 3.822 -3.745
-5.824 0.515 -1.730
-1.259 -5.233 2.729
-3.911 -2.602 3.799
-1.634 -1.928 0.715
-2.770 -5.305 -0.850
-4.465 -1.291 6.056
-4.291 0.626 1.785
-3.167 -2.037 -2.800
-4.120 2.541 -2.490

(23)
LaY2CoOs (GGA-PBE, optimized geometry); energy of formation from the pure elements = 0.224 eV/atom
1.0
-4.567 -1.033 -1.916
0.759 -4.930 0.849
-1.931 0.454 4.359
Y Co Os La
2 1 1 1
Cartesian
0.379 -2.465 0.425
-2.284 -0.517 -0.958
0.000 0.000 0.000
-0.965 0.227 2.179
-2.870 -2.755 1.646

(24)
La6CoP2 (GGA-PBE, optimized geometry); energy of formation from the pure elements = -0.672 eV/atom
1.0
6.371 0.000 0.110
0.000 8.022 0.000
0.424 0.000 9.956
La Co P
12 2 4
Cartesian
0.916 0.223 2.532
1.193 2.645 5.462
1.306 2.592 9.437
2.516 6.603 5.553
2.629 6.656 9.527
2.481 4.234 2.501
5.879 7.799 7.534
5.602 5.378 4.604
5.489 5.431 0.630
4.279 1.420 4.514
4.167 1.367 0.539
4.314 3.788 7.566
3.186 4.011 0.055
0.212 0.000 4.978
0.842 4.975 7.490
2.980 0.963 7.500
3.816 7.059 2.567
5.953 3.048 2.577

(25)
LaCo2P2 (GGA-PBE, optimized geometry); energy of formation from the pure elements = -0.261 eV/atom
1.0
-3.987 0.779 5.917
-2.923 -6.459 -1.119
2.186 -1.273 1.641
P Co La
4 4 2
Cartesian
-1.310 -4.640 0.914
-3.968 -5.720 3.618
-3.414 -2.313 5.524
-0.756 -1.233 2.820
-4.109 -5.406 1.278
-5.324 -3.296 4.535
-2.801 -0.274 3.519
-1.586 -2.384 0.263
0.000 0.000 0.000
-3.455 -2.840 2.399

(26)
LaCo2P2 (GGA-PBE, optimized geometry); energy of formation from the pure elements = -1.005 eV/atom
1.0
-3.543 0.530 -1.205
-1.284 -2.151 2.830
-2.841 3.725 4.066
P Co La
2 2 1
Cartesian
-2.539 0.519 1.766
-5.129 1.585 3.925
-4.399 1.722 1.837
-3.270 0.382 3.854
0.000 0.000 0.000

(27)
La2Co12P7 (GGA-PBE, optimized geometry); energy of formation from the pure elements = -0.727 eV/atom
1.0
3.650 0.000 0.000
0.000 7.909 -4.566
0.000 0.000 9.132
La Co P
2 12 7
Cartesian
1.825 0.000 0.000
0.000 5.272 0.000
1.825 7.140 1.499
1.825 5.637 -2.367
1.825 3.040 0.868
1.825 1.827 6.184
1.825 4.442 4.458
1.825 1.640 3.056
0.000 0.508 4.697
0.000 3.813 6.344
0.000 3.587 2.658
0.000 6.050 3.129
0.000 7.593 -2.238
0.000 2.174 -0.891
0.000 2.636 4.566
0.000 0.302 6.866
0.000 5.795 5.437
0.000 1.811 1.395
1.825 4.952 2.300
1.825 7.424 -0.873
1.825 3.440 -1.427